# PBE InAgP2, optimized geometry
# - ρ: 5.70 g cm⁻³
# - Total magnetic moment: 0.000 μB/atom
# - Formation energy: 8.93 kJ per mole of atoms
# - DFT total energy: -16.04 eV per formula unit
data_InAgP2
_space_group_name_H-M_alt 'C 1 m 1'
_space_group_IT_number 8
_cell_length_a 7.573
_cell_length_b 3.248
_cell_length_c 7.156
_cell_angle_alpha 90.00
_cell_angle_beta 109.62
_cell_angle_gamma 90.00
loop_
_space_group_symop_operation_xyz
'x,y,z'
'x,-y,z'
'x+1/2,y+1/2,z'
'x+1/2,-y+1/2,z'
loop_
_atom_site_label
_atom_site_fract_x
_atom_site_fract_y
_atom_site_fract_z
_atom_site_occupancy
In1 0.000 0.000 0.000 1
Ag1 0.302 0.500 0.285 1
P1 0.098 0.500 0.504 1
P2 0.176 0.000 0.723 1

# PBE ScAuSe2, optimized geometry
# - ρ: 7.47 g cm⁻³
# - Total magnetic moment: 0.000 μB/atom
# - DFT total energy: -20.28 eV per formula unit
# - Energy relative to the elements, uncorrected: -0.926 eV/atom
data_ScAuSe2
_space_group_name_H-M_alt 'C 1 c 1'
_space_group_IT_number 9
_cell_length_a 7.593
_cell_length_b 7.623
_cell_length_c 7.200
_cell_angle_alpha 90.00
_cell_angle_beta 121.49
_cell_angle_gamma 90.00
loop_
_space_group_symop_operation_xyz
'x,y,z'
'x,-y,z+1/2'
'x+1/2,y+1/2,z'
'x+1/2,-y+1/2,z+1/2'
loop_
_atom_site_label
_atom_site_fract_x
_atom_site_fract_y
_atom_site_fract_z
_atom_site_occupancy
Sc1 0.000 0.121 0.000 1
Au1 0.441 0.205 0.011 1
Se1 0.220 0.429 0.065 1
Se2 0.223 0.115 0.449 1